# 1
VASP calculation (PBE) on AlH6IO4 after structural relaxation.

Unit cell a=8.4601 b=8.4601 c=5.2498 alpha=72.56 beta=72.56 gamma=111.08
With the nearest neighbours (Å) after each atom.
Element x y z (fractional)
H  0.1534  0.2957  0.6881  1 O 0.97
H  0.2970  0.8782  0.8823  1 O 0.99
H  0.7043  0.8466  0.8119  1 O 0.97
H  0.8466  0.7043  0.3119  1 O 0.97
H  0.6106  0.8986  0.2897  1 O 0.99
H  0.1218  0.7030  0.6177  1 O 0.99
H  0.7030  0.1218  0.1177  1 O 0.99
H  0.2957  0.1534  0.1881  1 O 0.97
H  0.3894  0.1014  0.7103  1 O 0.99
H  0.8986  0.6106  0.7897  1 O 0.99
H  0.8782  0.2970  0.3823  1 O 0.99
H  0.1014  0.3894  0.2103  1 O 0.99
O  0.7042  0.0189  0.2691  2 H 0.99
O  0.1614  0.0863  0.3324  1 H 0.97
O  0.0189  0.7042  0.7691  2 H 0.99
O  0.9137  0.8386  0.1676  1 H 0.97
O  0.8386  0.9137  0.6676  1 H 0.97
O  0.0863  0.1614  0.8324  1 H 0.97
O  0.2958  0.9811  0.7309  2 H 0.99
O  0.9811  0.2958  0.2309  2 H 0.99
I  0.3472  0.6528  0.2500  6 H 2.53-2.67
I  0.6528  0.3472  0.7500  6 H 2.53-2.67
Al  0.0476  0.9524  0.7500  6 O 1.87-1.99
Al  0.9524  0.0476  0.2500  6 O 1.87-1.99

Results
Space-group type: No. 15
Theoretical density in g/cm³: 2.50
V in A^3/atom: 12.4
Electronic total energy in hartree per atom: -0.18811

***

# 2
VASP calculation (PBE) on AlHOsI2 after structural relaxation.

Unit cell a=5.4070 b=3.5844 c=5.4070 alpha=90.00 beta=90.00 gamma=90.00
With the nearest neighbours (Å) after each atom.
Element x y z (fractional)
I  0.5000  0.0000  0.0000  2 Os 2.70
I  0.0000  0.0000  0.5000  2 Os 2.70
H  0.0000  0.5000  0.0000  2 Os 1.79
Al  0.5000  0.5000  0.5000  8 I 3.24, 2 Al 3.58
Os  0.0000  0.0000  0.0000  2 H 1.79

Results
Space-group type: No. 123
Theoretical density in g/cm³: 7.48
V in A^3/atom: 21.0
Electronic total energy in hartree per atom: -0.13484

***

# 3
VASP calculation (PBE) on AlReH2I after structural relaxation.

Unit cell a=3.6831 b=5.5386 c=3.6831 alpha=90.00 beta=90.00 gamma=90.00
With the nearest neighbours (Å) after each atom.
Element x y z (fractional)
H  0.0000  0.0000  0.5000  2 I 1.84
H  0.5000  0.0000  0.0000  2 I 1.84
Re  0.0000  0.5000  0.0000  4 Al 2.60, 2 I 2.77
Al  0.5000  0.5000  0.5000  4 Re 2.60
I  0.0000  0.0000  0.0000  4 H 1.84

Results
Space-group type: No. 123
Theoretical density in g/cm³: 7.56
V in A^3/atom: 15.0
Electronic total energy in hartree per atom: -0.14302

***

# 4
VASP calculation (PBE) on AlSnH2I after structural relaxation.

Unit cell a=3.9418 b=8.1926 c=3.9418 alpha=90.00 beta=90.00 gamma=90.00
With the nearest neighbours (Å) after each atom.
Element x y z (fractional)
I  0.0000  0.0000  0.0000  4 H 1.97
H  0.0000  0.0000  0.5000  2 I 1.97
H  0.5000  0.0000  0.0000  2 I 1.97
Al  0.0000  0.5000  0.0000  4 Sn 2.79
Sn  0.5000  0.5000  0.5000  4 Al 2.79

Results
Space-group type: No. 123
Theoretical density in g/cm³: 3.58
V in A^3/atom: 25.5
Electronic total energy in hartree per atom: -0.09519

***

# 5
VASP calculation (PBE) on SrAlH4I after structural relaxation.

Unit cell a=7.0607 b=7.0607 c=6.4080 alpha=89.54 beta=89.54 gamma=51.90
With the nearest neighbours (Å) after each atom.
Element x y z (fractional)
H  0.1479  0.5614  0.1050  1 Al 1.66
H  0.4386  0.8521  0.8950  1 Al 1.66
H  0.5614  0.1479  0.1050  1 Al 1.66
H  0.5386  0.5386  0.1736  1 Al 1.62
H  0.6098  0.6098  0.5312  1 Al 1.61
H  0.3902  0.3902  0.4688  1 Al 1.61
H  0.8521  0.4386  0.8950  1 Al 1.66
H  0.4614  0.4614  0.8264  1 Al 1.62
Sr  0.7232  0.7232  0.2255  4 H 2.37-2.58
Sr  0.2768  0.2768  0.7745  4 H 2.37-2.58
Al  0.4133  0.4133  0.2220  4 H 1.61-1.66
Al  0.5867  0.5867  0.7780  4 H 1.61-1.66
I  0.1350  0.1350  0.3371  3 Sr 3.34-3.36, 9 H 3.35-3.49, 1 Al 3.60
I  0.8650  0.8650  0.6629  3 Sr 3.34-3.36, 9 H 3.35-3.49, 1 Al 3.60

Results
Space-group type: No. 12
Theoretical density in g/cm³: 3.24
V in A^3/atom: 18.0
Electronic total energy in hartree per atom: -0.12591

***

# 6
VASP calculation (PBE) on AlTe2HI after structural relaxation.

Unit cell a=4.4113 b=4.4113 c=7.5590 alpha=90.00 beta=90.00 gamma=90.00
With the nearest neighbours (Å) after each atom.
Element x y z (fractional)
I  0.0000  0.0000  0.5000  4 Al 3.12
H  0.0000  0.0000  0.0000  4 Te 2.21
Te  0.5000  0.0000  0.0000  2 H 2.21
Te  0.0000  0.5000  0.0000  2 H 2.21
Al  0.5000  0.5000  0.5000  4 I 3.12

Results
Space-group type: No. 123
Theoretical density in g/cm³: 4.63
V in A^3/atom: 29.4
Polymorph energy (0 for the lowest one) in meV per atom: 0
Electronic total energy in hartree per atom: -0.09742